#i
Density functional theory data (PBE) for Pm2SmMg4 after structural relaxation.

The structure belongs to space group I4/mmm (No. 139); the cell edges are 5.4462, 5.4462 and 14.7697 Å and the angles 90.00°, 90.00° and 90.00°. The distinct sites, in fractional coordinates, are Pm at (0.0000, 0.0000, 0.2466), Sm at (0.0000, 0.0000, 0.5000) and Mg at (0.0000, 0.5000, 0.1158).

=====

#ii
Density functional theory data (PBE) for Pm2SmMg4 after structural relaxation.

The structure belongs to space group Cmmm (No. 65); the cell edges are 6.0675, 13.2068 and 5.5264 Å and the angles 90.00°, 90.00° and 90.00°. The distinct sites, in fractional coordinates, are Pm at (0.0000, 0.1358, 0.0000), Sm at (0.0000, 0.5000, 0.5000), Mg at (0.0000, 0.2605, 0.5000) and Mg at (0.0000, 0.3841, 0.0000).

=====

Verdict on stability: #ii comes out at the bottom.

=====

#i
Density functional theory data (PBE) for PmSm8Mg2 after structural relaxation.

The structure belongs to space group C2/m (No. 12); the cell edges are 8.9020, 15.7871 and 5.8202 Å and the angles 90.00°, 117.64° and 90.00°. The distinct sites, in fractional coordinates, are Pm at (0.0000, 0.0000, 0.0000), Sm at (0.0000, 0.2115, 0.0000), Sm at (0.0886, 0.5000, 0.7942), Sm at (0.2111, 0.1138, 0.6401) and Mg at (0.0000, 0.3072, 0.5000).

=====

#ii
Density functional theory data (PBE) for PmSm8Mg2 after structural relaxation.

The structure belongs to space group C2/m (No. 12); the cell edges are 17.0618, 5.3608 and 8.4530 Å and the angles 90.00°, 113.75° and 90.00°. The distinct sites, in fractional coordinates, are Pm at (0.0000, 0.0000, 0.0000), Sm at (0.0532, 0.5000, 0.7351), Sm at (0.0993, 0.0000, 0.4683), Sm at (0.1478, 0.5000, 0.2036), Sm at (0.1867, 0.0000, 0.9507) and Mg at (0.2255, 0.5000, 0.6293).

=====

Verdict on stability: #i comes out at the bottom.

=====

#i
Density functional theory data (PBE) for Pm8SmMg2 after structural relaxation.

The structure belongs to space group C2/m (No. 12); the cell edges are 8.9471, 15.8657 and 5.8482 Å and the angles 90.00°, 118.02° and 90.00°. The distinct sites, in fractional coordinates, are Pm at (0.0000, 0.2106, 0.0000), Pm at (0.0883, 0.5000, 0.7938), Pm at (0.2115, 0.1142, 0.6419), Sm at (0.0000, 0.0000, 0.0000) and Mg at (0.0000, 0.3071, 0.5000).

=====

#ii
Density functional theory data (PBE) for Pm8SmMg2 after structural relaxation.

The structure belongs to space group C2/m (No. 12); the cell edges are 17.2532, 5.3396 and 8.4413 Å and the angles 90.00°, 112.90° and 90.00°. The distinct sites, in fractional coordinates, are Pm at (0.0518, 0.0000, 0.2348), Pm at (0.0985, 0.5000, 0.9663), Pm at (0.1465, 0.0000, 0.7023), Pm at (0.1858, 0.5000, 0.4486), Sm at (0.0000, 0.5000, 0.5000) and Mg at (0.2252, 0.0000, 0.1301).

=====

Verdict on stability: #i comes out at the bottom.

=====

#i
Density functional theory data (PBE) for PmSmMg2 after structural relaxation.

The structure belongs to space group Fm-3m (No. 225); the cell edges are 7.7074, 7.7074 and 7.7074 Å and the angles 90.00°, 90.00° and 90.00°. The distinct sites, in fractional coordinates, are Pm at (0.0000, 0.0000, 0.0000), Sm at (0.0000, 0.0000, 0.5000) and Mg at (0.2500, 0.2500, 0.2500).

=====

#ii
Density functional theory data (PBE) for PmSmMg2 after structural relaxation.

The structure belongs to space group R-3m (No. 166, hexagonal axes); the cell edges are 3.5433, 3.5433 and 32.8740 Å and the angles 90.00°, 90.00° and 120.00°. The distinct sites, in fractional coordinates, are Pm at (0.0000, 0.0000, 0.0000), Sm at (0.0000, 0.0000, 0.5000) and Mg at (0.0000, 0.0000, 0.2498).

=====

Verdict on stability: #ii comes out at the bottom.

=====

#i
Density functional theory data (PBE) for PmSm3Mg after structural relaxation.

The structure belongs to space group C2/m (No. 12); the cell edges are 13.1435, 3.7630 and 13.0146 Å and the angles 90.00°, 92.97° and 90.00°. The distinct sites, in fractional coordinates, are Pm at (0.2302, 0.0000, 0.2554), Sm at (0.0388, 0.0000, 0.6883), Sm at (0.1343, 0.5000, 0.4737), Sm at (0.1488, 0.0000, 0.9430) and Mg at (0.0560, 0.5000, 0.1256).

=====

#ii
Density functional theory data (PBE) for PmSm3Mg after structural relaxation.

The structure belongs to space group C2/m (No. 12); the cell edges are 11.5564, 5.3155 and 10.4886 Å and the angles 90.00°, 96.49° and 90.00°. The distinct sites, in fractional coordinates, are Pm at (0.0332, 0.0000, 0.3372), Sm at (0.0845, 0.5000, 0.8732), Sm at (0.1554, 0.5000, 0.5531), Sm at (0.2295, 0.5000, 0.2255) and Mg at (0.1277, 0.0000, 0.0497).

=====

Verdict on stability: #ii comes out at the bottom.

=====

#i
Density functional theory data (PBE) for Pm4Sm2Mg after structural relaxation.

The structure belongs to space group P222 (No. 16); the cell edges are 3.4545, 6.4576 and 11.0616 Å and the angles 90.00°, 90.00° and 90.00°. The distinct sites, in fractional coordinates, are Pm at (0.1835, 0.2480, 0.2703), Sm at (0.0000, 0.0000, 0.0000), Sm at (0.5000, 0.5000, 0.0000) and Mg at (0.5000, 0.0000, 0.5000).

=====

#ii
Density functional theory data (PBE) for Pm4Sm2Mg after structural relaxation.

The structure belongs to space group P2_1/m (No. 11); the cell edges are 6.0761, 6.6977 and 11.7150 Å and the angles 90.00°, 104.89° and 90.00°. The distinct sites, in fractional coordinates, are Pm at (0.1379, 0.2500, 0.1238), Pm at (0.2918, 0.7500, 0.4414), Pm at (0.3567, 0.0001, 0.7160), Sm at (0.1466, 0.2500, 0.4271), Sm at (0.4134, 0.7500, 0.0058) and Mg at (0.0216, 0.7500, 0.1656).

=====

Verdict on stability: #i comes out at the bottom.

=====

#i
Density functional theory data (PBE) for Pm6Sm12Mg after structural relaxation.

The structure belongs to space group R-3m (No. 166, hexagonal axes); the cell edges are 13.1769, 13.1769 and 13.1535 Å and the angles 90.00°, 90.00° and 120.00°. The distinct sites, in fractional coordinates, are Pm at (0.0907, 0.1814, 0.2747), Sm at (0.0000, 0.2619, 0.5000), Sm at (0.0585, 0.5293, 0.6116) and Mg at (0.0000, 0.0000, 0.5000).

=====

#ii
Density functional theory data (PBE) for Pm6Sm12Mg after structural relaxation.

The structure belongs to space group R-3 (No. 148, hexagonal axes); the cell edges are 12.1177, 12.1177 and 15.2655 Å and the angles 90.00°, 90.00° and 120.00°. The distinct sites, in fractional coordinates, are Pm at (0.0167, 0.5914, 0.1873), Sm at (0.0034, 0.8287, 0.3124), Sm at (0.0471, 0.1970, 0.9160) and Mg at (0.0000, 0.0000, 0.5000).

=====

Verdict on stability: #i comes out at the bottom.

=====

#i
Density functional theory data (PBE) for Pm2Sm8Mg after structural relaxation.

The structure belongs to space group Immm (No. 71); the cell edges are 5.6249, 7.7673 and 17.0840 Å and the angles 90.00°, 90.00° and 90.00°. The distinct sites, in fractional coordinates, are Pm at (0.0000, 0.0000, 0.1950), Sm at (0.0000, 0.2341, 0.0000), Sm at (0.0000, 0.2798, 0.3652), Sm at (0.0000, 0.5000, 0.1744) and Mg at (0.0000, 0.0000, 0.5000).

=====

#ii
Density functional theory data (PBE) for Pm2Sm8Mg after structural relaxation.

The structure belongs to space group C2/m (No. 12); the cell edges are 12.0456, 11.2863 and 6.0285 Å and the angles 90.00°, 104.31° and 90.00°. The distinct sites, in fractional coordinates, are Pm at (0.1376, 0.0000, 0.4930), Sm at (0.0783, 0.5000, 0.2867), Sm at (0.1017, 0.2406, 0.7943), Sm at (0.2299, 0.5000, 0.9022) and Mg at (0.0000, 0.0000, 0.0000).

=====

Verdict on stability: #ii comes out at the bottom.